1.
Pm3PrDy4Se8 GGA-PBE relaxed; formation energy without anion corrections = -1.792 eV/atom; calculated total energy = -5.875 eV per atom; size of the total moment = 0.000 μB per atom
1.0
4.110 2.373 6.889
-4.110 2.373 6.889
0.000 -4.746 6.889
Pm Pr Dy Se
3 1 4 8
Cartesian
-2.055 -1.187 6.889
-2.055 1.187 13.777
0.000 2.373 6.889
0.000 0.000 0.000
-4.110 0.000 10.333
-2.055 1.187 3.444
2.055 1.187 3.444
0.000 0.000 10.333
0.000 0.000 5.082
-2.040 -1.178 11.957
0.000 -2.356 8.708
-2.040 1.178 8.708
2.040 -1.178 11.957
0.000 2.356 11.957
2.040 1.178 8.708
0.000 0.000 15.584



2.
Mg2Sc GGA-PBE relaxed; E_form = -0.06 eV per formula unit; calculated total energy = -3.195 eV per atom; size of the total moment = 0.100 μB per atom
1.0
5.978 -1.592 0.000
5.978 1.592 0.000
-1.956 0.000 7.397
Mg Sc
4 2
Cartesian
-0.248 0.000 2.272
2.947 0.000 2.644
7.053 0.000 4.753
10.249 0.000 5.125
2.423 0.000 7.207
7.577 0.000 0.190



3.
BaZr2Rh2 GGA-PBE relaxed; distance to the lowest polymorph of the same formula = 0 meV/atom; E_form = -2.30 eV per formula unit; calculated total energy = -7.205 eV per atom; size of the total moment = 0.000 μB per atom
1.0
-2.295 2.295 5.907
2.295 -2.295 5.907
2.295 2.295 -5.907
Ba Zr Rh
1 2 2
Cartesian
0.000 0.000 0.000
2.295 0.000 2.953
0.000 2.295 2.953
0.000 0.000 4.387
0.000 0.000 7.427



4.
KSr3Rh GGA-PBE relaxed; distance to the lowest polymorph of the same formula = 691 meV/atom; E_form = 2.77 eV per formula unit; calculated total energy = -2.144 eV per atom; size of the total moment = 0.000 μB per atom
1.0
4.298 2.481 7.743
-4.298 2.481 7.743
0.000 -4.963 7.743
K Sr Rh
1 3 1
Cartesian
0.000 0.000 0.000
-2.129 -1.229 19.181
2.129 -1.229 19.181
0.000 2.459 19.181
0.000 0.000 20.188



5.
KPb2Cl GGA-PBE relaxed; distance to the lowest polymorph of the same formula = 282 meV/atom; formation energy without anion corrections = -0.425 eV/atom; calculated total energy = -3.016 eV per atom; size of the total moment = 0.000 μB per atom
1.0
0.000 3.933 3.933
3.933 0.000 3.933
3.933 3.933 0.000
K Pb Cl
1 2 1
Cartesian
0.000 0.000 0.000
1.967 1.967 1.967
3.933 3.933 3.933
5.900 5.900 5.900



6.
Cs8Rb6Hg GGA-PBE relaxed; E_form = -0.08 eV per formula unit; calculated total energy = -0.868 eV per atom; size of the total moment = 0.000 μB per atom
1.0
6.788 3.919 9.205
-6.788 3.919 9.205
0.000 -7.838 9.205
Cs Rb Hg
8 6 1
Cartesian
0.000 0.000 2.377
-2.970 0.545 11.344
-1.957 -2.300 16.270
1.014 -2.845 11.344
-1.014 2.845 16.270
1.957 2.300 11.344
2.970 -0.545 16.270
0.000 0.000 25.238
-2.885 0.429 6.497
1.071 -2.713 6.497
1.814 2.284 6.497
-1.814 -2.284 21.118
-1.071 2.713 21.118
2.885 -0.429 21.118
0.000 0.000 13.807



7.
Na2Tc2O5 GGA-PBE relaxed; formation energy without anion corrections = -1.375 eV/atom; calculated total energy = -6.726 eV per atom; size of the total moment = 0.000 μB per atom
1.0
3.852 0.000 0.000
0.000 3.852 0.000
0.000 0.000 7.263
Na Tc O
2 2 5
Cartesian
0.000 0.000 0.000
0.000 0.000 3.632
1.926 1.926 1.589
1.926 1.926 5.674
0.000 1.926 1.514
0.000 1.926 5.749
1.926 0.000 1.514
1.926 0.000 5.749
1.926 1.926 3.632



8.
W2BrCl GGA-PBE relaxed; distance to the lowest polymorph of the same formula = 1705 meV/atom; formation energy without anion corrections = 1.635 eV/atom; calculated total energy = -5.721 eV per atom; size of the total moment = 0.000 μB per atom
1.0
4.087 0.000 0.000
0.000 4.087 0.000
0.000 0.000 4.082
W Br Cl
2 1 1
Cartesian
0.000 2.044 0.000
2.044 0.000 0.000
0.000 0.000 2.041
2.044 2.044 2.041



9.
Zr2TiHPd GGA-PBE relaxed; distance to the lowest polymorph of the same formula = 0 meV/atom; calculated total energy = -7.033 eV per atom; size of the total moment = 0.035 μB per atom
1.0
4.523 0.000 0.000
0.000 4.523 0.000
0.000 0.000 3.846
Zr Ti H Pd
2 1 1 1
Cartesian
0.000 2.262 0.000
2.262 0.000 0.000
0.000 0.000 1.923
0.000 0.000 0.000
2.262 2.262 1.923



10.
KLaTiO4 GGA-PBE relaxed; distance to the lowest polymorph of the same formula = 0 meV/atom; formation energy without anion corrections = -2.994 eV/atom; calculated total energy = -7.816 eV per atom; size of the total moment = 0.000 μB per atom
1.0
13.631 0.000 0.000
0.000 5.487 0.000
0.000 0.000 5.466
K La Ti O
4 4 4 16
Cartesian
1.275 0.039 1.366
1.275 2.704 4.099
12.355 2.782 1.366
12.355 5.448 4.099
5.394 0.057 1.366
5.394 2.686 4.099
8.236 2.800 1.366
8.236 5.429 4.099
3.313 2.757 1.366
3.313 5.473 4.099
10.318 0.014 1.366
10.318 2.730 4.099
1.554 2.805 1.366
1.554 5.424 4.099
3.672 1.372 0.000
3.672 1.372 2.733
3.800 4.115 0.000
3.800 4.115 2.733
5.909 0.181 4.099
5.909 2.562 1.366
7.722 2.925 4.099
7.722 5.305 1.366
9.830 1.372 0.000
9.830 1.372 2.733
9.959 4.115 0.000
9.959 4.115 2.733
12.077 0.062 1.366
12.077 2.681 4.099



11.
Cu5Te4 GGA-PBE relaxed; distance to the lowest polymorph of the same formula = 127 meV/atom; formation energy without anion corrections = 0.233 eV/atom; calculated total energy = -3.439 eV per atom; size of the total moment = 0.000 μB per atom
1.0
8.295 0.000 0.000
-4.148 7.184 0.000
0.000 0.000 6.801
Cu Te
10 8
Cartesian
-0.953 1.651 1.700
-3.195 5.533 5.101
1.906 0.000 1.700
0.953 1.651 5.101
0.000 4.789 0.000
0.000 4.789 3.400
4.148 2.395 0.000
4.148 2.395 3.400
6.389 0.000 5.101
3.195 5.533 1.700
0.000 0.000 0.000
0.000 0.000 3.400
-1.975 3.420 5.101
-2.173 3.764 1.700
3.949 0.000 5.101
1.975 3.420 1.700
4.346 0.000 1.700
2.173 3.764 5.101



12.
Al3Fe GGA-PBE relaxed; E_form = -0.19 eV per formula unit; calculated total energy = -4.970 eV per atom; size of the total moment = 0.377 μB per atom
1.0
2.808 0.000 0.000
-1.404 2.432 0.000
0.000 0.000 8.522
Al Fe
3 1
Cartesian
0.000 0.000 0.000
0.000 1.621 2.359
0.000 1.621 6.162
0.000 0.000 4.261



13.
AcLaSmGd GGA-PBE relaxed; E_form = 0.42 eV per formula unit; calculated total energy = -6.855 eV per atom; size of the total moment = 1.966 μB per atom
1.0
0.000 4.203 4.203
4.203 0.000 4.203
4.203 4.203 0.000
Ac La Sm Gd
1 1 1 1
Cartesian
0.000 0.000 0.000
4.203 4.203 4.203
2.102 2.102 2.102
6.305 6.305 6.305



14.
RbPr2HgS4 GGA-PBE relaxed; formation energy without anion corrections = -1.393 eV/atom; calculated total energy = -4.810 eV per atom; size of the total moment = 0.000 μB per atom
1.0
2.134 -7.133 0.000
2.134 7.133 0.000
0.000 0.000 14.771
Rb Pr Hg S
2 4 2 8
Cartesian
2.134 5.426 11.078
2.134 -5.426 3.693
2.134 1.800 8.207
2.134 1.800 13.949
2.134 -1.800 0.822
2.134 -1.800 6.563
2.134 4.867 3.693
2.134 -4.867 11.078
0.000 0.000 0.000
0.000 0.000 7.385
2.134 3.389 1.529
2.134 3.389 5.856
2.134 0.819 11.078
2.134 -0.819 3.693
2.134 -3.389 8.914
2.134 -3.389 13.242



15.
CsVBr4 GGA-PBE relaxed; distance to the lowest polymorph of the same formula = 66 meV/atom; formation energy without anion corrections = -1.103 eV/atom; calculated total energy = -3.881 eV per atom; size of the total moment = 0.333 μB per atom
1.0
2.612 -10.353 0.000
2.612 10.353 0.000
0.000 0.000 7.699
Cs V Br
2 2 8
Cartesian
2.612 8.232 5.774
2.612 -8.232 1.925
2.612 2.010 5.774
2.612 -2.010 1.925
2.612 8.721 1.925
2.612 3.656 4.007
2.612 3.656 7.541
2.612 0.000 0.000
2.612 0.000 3.849
2.612 -3.656 0.158
2.612 -3.656 3.692
2.612 -8.721 5.774



16.
CeGePt4 GGA-PBE relaxed; distance to the lowest polymorph of the same formula = 377 meV/atom; E_form = -2.21 eV per formula unit; calculated total energy = -6.155 eV per atom; size of the total moment = 0.060 μB per atom
1.0
-2.660 2.660 9.148
2.660 -2.660 9.148
2.660 2.660 -9.148
Ce Ge Pt
2 2 8
Cartesian
2.660 1.330 2.287
0.000 1.330 6.861
2.660 -1.330 6.861
0.000 3.990 2.287
1.341 1.330 -0.262
3.979 1.330 -0.262
0.000 0.011 4.312
2.660 0.011 4.837
0.000 2.649 4.312
2.660 2.649 4.837
-1.319 1.330 9.411
1.319 1.330 9.411



17.
CaBiSe2Br GGA-PBE relaxed; distance to the lowest polymorph of the same formula = 0 meV/atom; formation energy without anion corrections = -0.549 eV/atom; calculated total energy = -3.454 eV per atom; size of the total moment = 0.000 μB per atom
1.0
5.606 0.000 0.000
0.000 5.606 0.000
0.000 0.000 5.520
Ca Bi Se Br
1 1 2 1
Cartesian
0.000 0.000 0.000
2.803 2.803 2.760
0.000 2.803 2.760
2.803 0.000 2.760
2.803 2.803 0.000